P) Compound: LaSm5Er3
Source: the Alexandria database
Functional: PBE-GGA
Structure: optimized geometry

The space group is C2/c (No. 15) and the conventional cell measures 18.721, 6.410 and 11.302 Å, with angles of 90.00, 113.48 and 90.00 degrees. The distinct sites, in fractional coordinates, are La at (0.000, 0.142, 0.250), Sm at (0.000, 0.394, 0.750), Sm at (0.168, 0.292, 0.206), Sm at (0.170, 0.180, 0.866), Er at (0.000, 0.000, 0.000) and Er at (0.163, 0.299, 0.515).

As for the crystal system: monoclinic.

=====

Q) Compound: LaSm5Er3
Source: the Alexandria database
Functional: PBE-GGA
Structure: optimized geometry

The space group is C2/m (No. 12) and the conventional cell measures 17.083, 8.163 and 12.342 Å, with angles of 90.00, 131.15 and 90.00 degrees. The distinct sites, in fractional coordinates, are La at (0.238, 0.000, 0.139), Sm at (0.000, 0.320, 0.000), Sm at (0.063, 0.204, 0.776), Sm at (0.132, 0.000, 0.574), Sm at (0.197, 0.500, 0.064), Er at (0.000, 0.000, 0.000), Er at (0.000, 0.500, 0.500), Er at (0.116, 0.500, 0.319) and Er at (0.168, 0.000, 0.340).

As for the crystal system: monoclinic.

=====

P) ends up most stable, edging out the next structure by 119 meV per atom.

=====

P) Compound: La2SmEr2
Source: the Alexandria database
Functional: PBE-GGA
Structure: optimized geometry

The space group is C2/c (No. 15) and the conventional cell measures 8.657, 15.748 and 5.679 Å, with angles of 90.00, 116.44 and 90.00 degrees. The distinct sites, in fractional coordinates, are La at (0.182, 0.074, 0.118), Sm at (0.000, 0.406, 0.250) and Er at (0.137, 0.223, 0.633).

As for the crystal system: monoclinic.

=====

Q) Compound: La2SmEr2
Source: the Alexandria database
Functional: PBE-GGA
Structure: optimized geometry

The space group is C2/c (No. 15) and the conventional cell measures 9.389, 13.479 and 6.137 Å, with angles of 90.00, 112.41 and 90.00 degrees. The distinct sites, in fractional coordinates, are La at (0.183, 0.079, 0.368), Sm at (0.000, 0.436, 0.750), Er at (0.000, 0.174, 0.750) and Er at (0.000, 0.305, 0.250).

As for the crystal system: monoclinic.

=====

P) ends up most stable, edging out the next structure by 101 meV per atom.

=====

P) Compound: LaSmEr2
Source: the Alexandria database
Functional: PBE-GGA
Structure: optimized geometry

The space group is P4/mmm (No. 123) and the conventional cell measures 3.628, 3.628 and 10.010 Å, with angles of 90.00, 90.00 and 90.00 degrees. The distinct sites, in fractional coordinates, are La at (0.000, 0.000, 0.000), Sm at (0.000, 0.000, 0.500) and Er at (0.500, 0.500, 0.254).

As for the crystal system: tetragonal.

=====

Q) Compound: LaSmEr2
Source: the Alexandria database
Functional: PBE-GGA
Structure: optimized geometry

The space group is Fm-3m (No. 225) and the conventional cell measures 8.116, 8.116 and 8.116 Å, with angles of 90.00, 90.00 and 90.00 degrees. The distinct sites, in fractional coordinates, are La at (0.000, 0.000, 0.000), Sm at (0.000, 0.000, 0.500) and Er at (0.250, 0.250, 0.250).

As for the crystal system: cubic.

=====

P) ends up most stable, edging out the next structure by 68 meV per atom.

=====

P) Compound: La2Sm3Er2
Source: the Alexandria database
Functional: PBE-GGA
Structure: optimized geometry

The space group is C2/m (No. 12) and the conventional cell measures 17.824, 3.548 and 8.665 Å, with angles of 90.00, 119.02 and 90.00 degrees. The distinct sites, in fractional coordinates, are La at (0.065, 0.000, 0.216), Sm at (0.000, 0.500, 0.500), Sm at (0.212, 0.500, 0.630) and Er at (0.152, 0.500, 0.964).

As for the crystal system: monoclinic.

=====

Q) Compound: La2Sm3Er2
Source: the Alexandria database
Functional: PBE-GGA
Structure: optimized geometry

The space group is C2/m (No. 12) and the conventional cell measures 11.932, 3.643 and 10.901 Å, with angles of 90.00, 95.52 and 90.00 degrees. The distinct sites, in fractional coordinates, are La at (0.216, 0.000, 0.355), Sm at (0.000, 0.500, 0.500), Sm at (0.142, 0.500, 0.069) and Er at (0.070, 0.000, 0.789).

As for the crystal system: monoclinic.

=====

Q) ends up most stable, edging out the next structure by 105 meV per atom.

=====

P) Compound: La4Sm5Er2
Source: the Alexandria database
Functional: PBE-GGA
Structure: optimized geometry

The space group is C2/m (No. 12) and the conventional cell measures 17.930, 3.583 and 11.845 Å, with angles of 90.00, 94.13 and 90.00 degrees. The distinct sites, in fractional coordinates, are La at (0.040, 0.000, 0.263), La at (0.142, 0.500, 0.795), Sm at (0.000, 0.500, 0.000), Sm at (0.097, 0.000, 0.539), Sm at (0.179, 0.000, 0.073) and Er at (0.216, 0.500, 0.362).

As for the crystal system: monoclinic.

=====

Q) Compound: La4Sm5Er2
Source: the Alexandria database
Functional: PBE-GGA
Structure: optimized geometry

The space group is Immm (No. 71) and the conventional cell measures 3.533, 9.499 and 23.065 Å, with angles of 90.00, 90.00 and 90.00 degrees. The distinct sites, in fractional coordinates, are La at (0.000, 0.000, 0.093), La at (0.000, 0.289, 0.500), Sm at (0.000, 0.203, 0.348), Sm at (0.000, 0.500, 0.000) and Er at (0.000, 0.000, 0.228).

As for the crystal system: orthorhombic.

=====

P) ends up most stable, edging out the next structure by 178 meV per atom.

=====

P) Compound: La6Sm12Er
Source: the Alexandria database
Functional: PBE-GGA
Structure: optimized geometry

The space group is R-3m (No. 166, hexagonal axes) and the conventional cell measures 16.9581, 16.9581 and 8.2267 Å, with angles of 90.00, 90.00 and 120.00 degrees. The distinct sites, in fractional coordinates, are La at (0.0925, 0.1850, 0.1128), Sm at (0.0000, 0.3763, 0.0000), Sm at (0.1071, 0.5535, 0.2874) and Er at (0.0000, 0.0000, 0.5000).

As for the crystal system: trigonal.

=====

Q) Compound: La6Sm12Er
Source: the Alexandria database
Functional: PBE-GGA
Structure: optimized geometry

The space group is R-3 (No. 148, hexagonal axes) and the conventional cell measures 12.3205, 12.3205 and 15.2063 Å, with angles of 90.00, 90.00 and 120.00 degrees. The distinct sites, in fractional coordinates, are La at (0.0126, 0.5924, 0.1855), Sm at (0.0022, 0.8313, 0.3103), Sm at (0.0503, 0.1957, 0.9164) and Er at (0.0000, 0.0000, 0.5000).

As for the crystal system: trigonal.

=====

Q) ends up most stable, edging out the next structure by 167 meV per atom.

=====

P) Compound: La2Sm12Er5
Source: the Alexandria database
Functional: PBE-GGA
Structure: optimized geometry

The space group is C2/m (No. 12) and the conventional cell measures 16.465, 9.341 and 8.381 Å, with angles of 90.00, 90.30 and 90.00 degrees. The distinct sites, in fractional coordinates, are La at (0.000, 0.212, 0.000), Sm at (0.051, 0.500, 0.290), Sm at (0.109, 0.281, 0.616), Sm at (0.165, 0.000, 0.871), Sm at (0.187, 0.212, 0.220), Er at (0.000, 0.000, 0.500), Er at (0.147, 0.500, 0.939) and Er at (0.250, 0.000, 0.536).

As for the crystal system: monoclinic.

=====

Q) Compound: La2Sm12Er5
Source: the Alexandria database
Functional: PBE-GGA
Structure: optimized geometry

The space group is C2/m (No. 12) and the conventional cell measures 15.922, 9.343 and 8.673 Å, with angles of 90.00, 90.80 and 90.00 degrees. The distinct sites, in fractional coordinates, are La at (0.000, 0.180, 0.000), Sm at (0.064, 0.000, 0.332), Sm at (0.093, 0.500, 0.882), Sm at (0.125, 0.192, 0.656), Sm at (0.157, 0.320, 0.240), Er at (0.000, 0.500, 0.500), Er at (0.199, 0.000, 0.014) and Er at (0.231, 0.500, 0.573).

As for the crystal system: monoclinic.

=====

P) ends up most stable, edging out the next structure by 7 meV per atom.

=====

P) Compound: La3SmEr3
Source: the Alexandria database
Functional: PBE-GGA
Structure: optimized geometry

The space group is P6_3/m (No. 176) and the conventional cell measures 9.7542, 9.7542 and 5.8131 Å, with angles of 90.00, 90.00 and 120.00 degrees. The distinct sites, in fractional coordinates, are La at (0.0967, 0.4728, 0.2500), Sm at (0.3333, 0.6667, 0.7500) and Er at (0.0455, 0.2301, 0.7500).

As for the crystal system: hexagonal.

=====

Q) Compound: La3SmEr3
Source: the Alexandria database
Functional: PBE-GGA
Structure: optimized geometry

The space group is R-3 (No. 148, hexagonal axes) and the conventional cell measures 9.4664, 9.4664 and 18.7807 Å, with angles of 90.00, 90.00 and 120.00 degrees. The distinct sites, in fractional coordinates, are La at (0.0506, 0.8073, 0.0776), Sm at (0.0000, 0.0000, 0.4086) and Er at (0.0501, 0.8153, 0.2608).

As for the crystal system: trigonal.

=====

P) ends up most stable, edging out the next structure by 96 meV per atom.